Crystalline La2TaFe at its relaxed geometry, computed with GGA-PBE.

Its density is 9.04 Mg/m³. The crystal system is trigonal. Its energy relative to the elements is 683 meV per atom. The value obtained for the energy relative to the lowest polymorph listed for this composition is 502.4 meV/atom.

The space group is R-3m (No. 166, hexagonal axes) and the conventional cell measures 3.4001, 3.4001 and 28.3322 Å, with angles of 90.00, 90.00 and 120.00 degrees. The inequivalent atoms are La at (0.0000, 0.0000, 0.2413), Ta at (0.0000, 0.0000, 0.0000) and Fe at (0.0000, 0.0000, 0.5000).

***

Crystalline RbUAs2 at its relaxed geometry, computed with GGA-PBE.

Its density is 6.19 Mg/m³. The crystal system is trigonal. Its energy relative to the elements is -526 meV per atom. The value obtained for the energy relative to the lowest polymorph listed for this composition is 22.1 meV/atom.

The space group is R3m (No. 160, hexagonal axes) and the conventional cell measures 4.2689, 4.2689 and 24.1511 Å, with angles of 90.00, 90.00 and 120.00 degrees. The inequivalent atoms are Rb at (0.0000, 0.0000, 0.0000), U at (0.0000, 0.0000, 0.1698), As at (0.0000, 0.0000, 0.5612) and As at (0.0000, 0.0000, 0.7781).